Model a:
The following is a meta-GGA SCAN calculation of a crystal of CrP2Ru relaxed with PBEsol, from Alexandria.

Lattice parameters (Å, degrees): 2.799 3.903 4.865 102.49 90.00 111.01
Last column: magnetic moment on the atom in μB.
Fractional positions:
P 0.247 0.494 0.222  -0.03
P 0.753 0.506 0.778  -0.03
Ru 0.000 0.000 0.500  -0.04
Cr 0.500 0.000 0.000  1.05

Properties
- Density of states at the Fermi level: 2.792 states/eV/f.u.

***

Model b:
The following is a meta-GGA SCAN calculation of a crystal of CrP2Ru relaxed with PBEsol, from Alexandria.

Lattice parameters (Å, degrees): 2.858 3.467 4.980 90.00 90.00 90.00
Last column: magnetic moment on the atom in μB.
Fractional positions:
Ru 0.000 0.000 0.447  -0.06
Cr 0.500 0.500 0.812  2.09
P 0.000 0.000 0.953  -0.13
P 0.500 0.500 0.287  -0.06

Properties
- Density of states at the Fermi level: 2.029 states/eV/f.u.

***

Preferred: model b; penalty for the next structure: 177 meV per atom.